[1]
A plane-wave DFT calculation with PBE was carried out for NaCdSb after structural relaxation.

Output
The uncorrected formation energy comes out at -332 meV/atom. The total moment is 0.000 μB/atom.

a = 8.0518 Å, b = 4.7911 Å, c = 8.6045 Å
α = 90.00°, β = 90.00°, γ = 90.00°
Atoms (fractional coordinates):
Na1 0.0144 0.2500 0.1793
Na2 0.4856 0.7500 0.6793
Na3 0.5144 0.2500 0.3207
Na4 0.9856 0.7500 0.8207
Cd1 0.1503 0.2500 0.5771
Cd2 0.3497 0.7500 0.0771
Cd3 0.6503 0.2500 0.9229
Cd4 0.8497 0.7500 0.4229
Sb1 0.2231 0.7500 0.3947
Sb2 0.2769 0.2500 0.8947
Sb3 0.7231 0.7500 0.1053
Sb4 0.7769 0.2500 0.6053

---

[2]
A plane-wave DFT calculation with PBE was carried out for Cs2Mg2Sn after structural relaxation.

Output
For the distance to the lowest polymorph of the same formula, the calculation gives 0.0 meV per atom. The total moment is 0.095 μB/atom. As for the energy of formation: 1.11 eV per formula unit.

a = 13.2349 Å, b = 13.2349 Å, c = 13.2349 Å
α = 161.70°, β = 161.70°, γ = 25.99°
Atoms (fractional coordinates):
Cs1 0.1021 0.1021 0.0000
Cs2 0.8979 0.8979 0.0000
Mg1 0.2500 0.7500 0.5000
Mg2 0.7500 0.2500 0.5000
Sn1 0.5000 0.5000 0.0000

---

[3]
A plane-wave DFT calculation with PBE was carried out for InAg5Au8 after structural relaxation.

Output
The total moment is 0.000 μB/atom. As for the energy of formation: 0.65 eV per formula unit.

a = 7.0968 Å, b = 7.0968 Å, c = 7.0968 Å
α = 107.84°, β = 107.84°, γ = 112.78°
Atoms (fractional coordinates):
In1 0.0000 0.0000 0.0000
Ag1 0.2460 0.6643 0.2172
Ag2 0.3357 0.5529 0.5817
Ag3 0.4471 0.0289 0.7828
Ag4 0.7500 0.2500 0.5000
Ag5 0.9711 0.7540 0.4183
Au1 0.1206 0.6883 0.8230
Au2 0.1742 0.2719 0.7792
Au3 0.3117 0.1347 0.4322
Au4 0.4927 0.3950 0.2208
Au5 0.6050 0.8258 0.0977
Au6 0.7025 0.8794 0.5678
Au7 0.7281 0.5073 0.9023
Au8 0.8653 0.2975 0.1770

---

[4]
A plane-wave DFT calculation with PBE was carried out for ScGaPCl2 after structural relaxation.

Output
For the distance to the lowest polymorph of the same formula, the calculation gives 0.0 meV per atom. The uncorrected formation energy comes out at -804 meV/atom. The total moment is 0.000 μB/atom.

a = 4.9015 Å, b = 4.9015 Å, c = 5.3101 Å
α = 90.00°, β = 90.00°, γ = 90.00°
Atoms (fractional coordinates):
Sc1 0.0000 0.0000 0.0000
Ga1 0.5000 0.5000 0.5000
P1 0.0000 0.0000 0.5000
Cl1 0.0000 0.5000 0.0000
Cl2 0.5000 0.0000 0.0000

---

[5]
A plane-wave DFT calculation with PBE was carried out for YBeTe4 after structural relaxation.

Output
The uncorrected formation energy comes out at 464 meV/atom. The total moment is 0.000 μB/atom.

a = 6.2960 Å, b = 6.2960 Å, c = 6.2960 Å
α = 60.00°, β = 60.00°, γ = 60.00°
Atoms (fractional coordinates):
Y1 0.0000 0.0000 0.0000
Be1 0.7500 0.7500 0.7500
Te1 0.3749 0.3749 0.3749
Te2 0.3749 0.3749 0.8753
Te3 0.3749 0.8753 0.3749
Te4 0.8753 0.3749 0.3749

---

[6]
A plane-wave DFT calculation with PBE was carried out for HfZr2Mo after structural relaxation.

Output
For the distance to the lowest polymorph of the same formula, the calculation gives 121.3 meV per atom. The total moment is 0.000 μB/atom. As for the energy of formation: 0.61 eV per formula unit.

a = 4.9803 Å, b = 5.7728 Å, c = 5.7518 Å
α = 90.00°, β = 90.00°, γ = 90.00°
Atoms (fractional coordinates):
Hf1 0.2500 0.2500 0.1330
Hf2 0.7500 0.7500 0.8670
Zr1 0.2500 0.0062 0.6433
Zr2 0.2500 0.4938 0.6433
Zr3 0.7500 0.5062 0.3567
Zr4 0.7500 0.9938 0.3567
Mo1 0.2500 0.7500 0.1189
Mo2 0.7500 0.2500 0.8811

---

[7]
A plane-wave DFT calculation with PBE was carried out for BaCaB after structural relaxation.

Output
For the distance to the lowest polymorph of the same formula, the calculation gives 43.6 meV per atom. The total moment is 0.000 μB/atom. As for the energy of formation: 0.59 eV per formula unit.

a = 4.4985 Å, b = 4.4985 Å, c = 13.3933 Å
α = 99.70°, β = 99.70°, γ = 60.01°
Atoms (fractional coordinates):
Ba1 0.0000 0.0000 0.0000
Ba2 0.2334 0.2334 0.6992
Ca1 0.4821 0.4821 0.4430
Ca2 0.7429 0.7429 0.2263
B1 0.3737 0.3737 0.1203
B2 0.4135 0.4135 0.2376

---

[8]
A plane-wave DFT calculation with PBE was carried out for LaCdRh after structural relaxation.

Output
The total moment is 0.000 μB/atom. As for the energy of formation: -1.24 eV per formula unit.

a = 4.6768 Å, b = 4.6768 Å, c = 3.8710 Å
α = 90.00°, β = 90.00°, γ = 120.00°
Atoms (fractional coordinates):
La1 0.0000 0.0000 0.0000
Cd1 0.3333 0.6667 0.4997
Rh1 0.6667 0.3333 0.5035

---

[9]
A plane-wave DFT calculation with PBE was carried out for Eu2AlPb after structural relaxation.

Output
The total moment is 3.581 μB/atom. As for the energy of formation: -1.47 eV per formula unit.

a = 3.8746 Å, b = 3.8746 Å, c = 7.8738 Å
α = 90.00°, β = 90.00°, γ = 90.00°
Atoms (fractional coordinates):
Eu1 0.0000 0.0000 0.2327
Eu2 0.0000 0.0000 0.7673
Al1 0.5000 0.5000 0.0000
Pb1 0.5000 0.5000 0.5000

---

[10]
A plane-wave DFT calculation with PBE was carried out for SiAgPt2 after structural relaxation.

Output
The uncorrected formation energy comes out at -144 meV/atom. The total moment is 0.000 μB/atom.

a = 4.7107 Å, b = 4.7107 Å, c = 4.7107 Å
α = 129.02°, β = 129.02°, γ = 74.97°
Atoms (fractional coordinates):
Si1 0.0000 0.0000 0.0000
Ag1 0.5000 0.5000 0.0000
Pt1 0.2500 0.7500 0.5000
Pt2 0.7500 0.2500 0.5000

---

[11]
A plane-wave DFT calculation with PBE was carried out for Mn2ZnPd8 after structural relaxation.

Output
For the distance to the lowest polymorph of the same formula, the calculation gives 67.2 meV per atom. The total moment is 0.833 μB/atom. As for the energy of formation: -2.02 eV per formula unit.

a = 7.0412 Å, b = 7.0412 Å, c = 7.0412 Å
α = 145.12°, β = 119.73°, γ = 71.57°
Atoms (fractional coordinates):
Mn1 0.2016 0.2016 0.0000
Mn2 0.7984 0.7984 0.0000
Zn1 0.5000 0.5000 0.0000
Pd1 0.0605 0.3457 0.7148
Pd2 0.1893 0.0000 0.1893
Pd3 0.3574 0.8574 0.5000
Pd4 0.3691 0.6543 0.7148
Pd5 0.6309 0.3457 0.2852
Pd6 0.6426 0.1426 0.5000
Pd7 0.8107 0.0000 0.8107
Pd8 0.9395 0.6543 0.2852

---

[12]
A plane-wave DFT calculation with PBE was carried out for Tb6GaTe5 after structural relaxation.

Output
The uncorrected formation energy comes out at -1260 meV/atom. The total moment is 0.000 μB/atom.

a = 7.5445 Å, b = 7.5445 Å, c = 7.5509 Å
α = 99.58°, β = 99.58°, γ = 119.79°
Atoms (fractional coordinates):
Tb1 0.0764 0.3866 0.7327
Tb2 0.2275 0.2275 0.2604
Tb3 0.3866 0.0764 0.7327
Tb4 0.6134 0.9236 0.2673
Tb5 0.7725 0.7725 0.7396
Tb6 0.9236 0.6134 0.2673
Ga1 0.0000 0.0000 0.5000
Te1 0.1754 0.8246 0.0000
Te2 0.3356 0.6644 0.5000
Te3 0.5000 0.5000 0.0000
Te4 0.6644 0.3356 0.5000
Te5 0.8246 0.1754 0.0000

---

[13]
A plane-wave DFT calculation with PBE was carried out for LaCdTc2 after structural relaxation.

Output
The total moment is 0.001 μB/atom. As for the energy of formation: 2.79 eV per formula unit.

a = 2.8217 Å, b = 2.8217 Å, c = 9.6986 Å
α = 90.00°, β = 90.00°, γ = 90.00°
Atoms (fractional coordinates):
La1 0.0000 0.0000 0.0000
Cd1 0.0000 0.0000 0.5000
Tc1 0.5000 0.5000 0.2717
Tc2 0.5000 0.5000 0.7283

---

[14]
A plane-wave DFT calculation with PBE was carried out for CeNdGdTh after structural relaxation.

Output
The total moment is 2.479 μB/atom. As for the energy of formation: 0.85 eV per formula unit.

a = 5.7018 Å, b = 5.7018 Å, c = 5.7018 Å
α = 60.00°, β = 60.00°, γ = 60.00°
Atoms (fractional coordinates):
Ce1 0.0000 0.0000 0.0000
Nd1 0.7500 0.7500 0.7500
Gd1 0.5000 0.5000 0.5000
Th1 0.2500 0.2500 0.2500

---

[15]
A plane-wave DFT calculation with PBE was carried out for AlCuCl after structural relaxation.

Output
For the distance to the lowest polymorph of the same formula, the calculation gives 0.0 meV per atom. The uncorrected formation energy comes out at -186 meV/atom. The total moment is 0.000 μB/atom.

a = 3.3423 Å, b = 3.3423 Å, c = 5.6548 Å
α = 90.00°, β = 90.00°, γ = 120.00°
Atoms (fractional coordinates):
Al1 0.0000 0.0000 0.0000
Cu1 0.3333 0.6667 0.7430
Cl1 0.6667 0.3333 0.3113

---

[16]
A plane-wave DFT calculation with PBE was carried out for Ac6Ge2Te3As after structural relaxation.

Output
The uncorrected formation energy comes out at -1339 meV/atom. The total moment is 0.000 μB/atom.

a = 10.5096 Å, b = 10.5096 Å, c = 9.4293 Å
α = 104.04°, β = 104.04°, γ = 25.57°
Atoms (fractional coordinates):
Ac1 0.0067 0.0067 0.2375
Ac2 0.3274 0.3274 0.4317
Ac3 0.3381 0.3381 0.9009
Ac4 0.6619 0.6619 0.0991
Ac5 0.6726 0.6726 0.5683
Ac6 0.9933 0.9933 0.7625
Ge1 0.1657 0.1657 0.3311
Ge2 0.8343 0.8343 0.6689
Te1 0.1656 0.1656 0.8336
Te2 0.5000 0.5000 0.5000
Te3 0.8344 0.8344 0.1664
As1 0.5000 0.5000 0.0000

---

[17]
A plane-wave DFT calculation with PBE was carried out for LaMg2Nb after structural relaxation.

Output
For the distance to the lowest polymorph of the same formula, the calculation gives 0.0 meV per atom. The total moment is 0.000 μB/atom. As for the energy of formation: 1.31 eV per formula unit.

a = 5.1392 Å, b = 5.1392 Å, c = 5.1392 Å
α = 60.00°, β = 60.00°, γ = 60.00°
Atoms (fractional coordinates):
La1 0.0000 0.0000 0.0000
Mg1 0.2500 0.2500 0.2500
Mg2 0.7500 0.7500 0.7500
Nb1 0.5000 0.5000 0.5000

---

[18]
A plane-wave DFT calculation with PBE was carried out for Li3PtO after structural relaxation.

Output
For the distance to the lowest polymorph of the same formula, the calculation gives 980.1 meV per atom. The uncorrected formation energy comes out at 86 meV/atom. The total moment is 0.200 μB/atom.

a = 4.6909 Å, b = 4.6909 Å, c = 4.6909 Å
α = 90.00°, β = 90.00°, γ = 90.00°
Atoms (fractional coordinates):
Li1 0.0000 0.0000 0.5000
Li2 0.0000 0.5000 0.0000
Li3 0.5000 0.0000 0.0000
Pt1 0.0000 0.0000 0.0000
O1 0.5000 0.5000 0.5000

---

[19]
A plane-wave DFT calculation with PBE was carried out for VNi3 after structural relaxation.

Output
The total moment is 0.000 μB/atom. As for the energy of formation: -0.49 eV per formula unit.

a = 2.5495 Å, b = 4.0655 Å, c = 4.3764 Å
α = 90.00°, β = 90.00°, γ = 90.00°
Atoms (fractional coordinates):
V1 0.0000 0.0000 0.0000
Ni1 0.0000 0.5000 0.6744
Ni2 0.5000 0.0000 0.5037
Ni3 0.5000 0.5000 0.1792

---

[20]
A plane-wave DFT calculation with PBE was carried out for HfAlTl3 after structural relaxation.

Output
For the distance to the lowest polymorph of the same formula, the calculation gives 0.0 meV per atom. The total moment is 0.000 μB/atom. As for the energy of formation: 3.78 eV per formula unit.

a = 5.6345 Å, b = 5.6345 Å, c = 5.6345 Å
α = 90.00°, β = 90.00°, γ = 90.00°
Atoms (fractional coordinates):
Hf1 0.0000 0.0000 0.0000
Al1 0.5000 0.5000 0.5000
Tl1 0.0000 0.0000 0.5000
Tl2 0.0000 0.5000 0.0000
Tl3 0.5000 0.0000 0.0000